First-principles (GGA-PBE) data for crystalline SrBeZn2Si at its relaxed geometry, as listed in the Alexandria database.

It has space group P4/mmm (No. 123), with a = 6.2992 Å, b = 6.2992 Å, c = 5.9314 Å, α = 90.00°, β = 90.00° and γ = 90.00°. The inequivalent atoms are Sr at (0.0000, 0.0000, 0.0000), Be at (0.5000, 0.5000, 0.5000), Zn at (0.0000, 0.5000, 0.0000) and Si at (0.0000, 0.0000, 0.5000).

Its energy relative to the elements, uncorrected is 1566 meV per atom. The total moment is 2.06 Bohr magnetons per cell.